No. 1
The following is a DFT calculation (PBE) of a geometry-optimized LaAg4Sn structure.

Values from the calculation:
DOS(E_F) = 4.61 states/eV/cell
DFT total energy = -3.609 eV per atom
ΔH_f (0 K) = -1.32 eV/f.u.
Total magnetization = 0.0 μB per formula unit

Cell and atoms, written as extended XYZ:
```
6
Lattice="0.000 4.045 4.045 4.045 0.000 4.045 4.045 4.045 0.000" Properties=species:S:1:pos:R:3 pbc="T T T"
La 0.000 0.000 0.000
Ag 3.034 3.034 3.034
Ag 5.055 5.055 3.034
Ag 5.055 3.034 5.055
Ag 3.034 5.055 5.055
Sn 6.067 6.067 6.067
```


No. 2
The following is a DFT calculation (PBE) of a geometry-optimized PuSbPdAu structure.

Values from the calculation:
DOS(E_F) = 13.67 states/eV/cell
DFT total energy = -7.120 eV per atom
Total magnetization = 5.6 μB per formula unit

Cell and atoms, written as extended XYZ:
```
4
Lattice="0.000 3.503 3.503 3.503 0.000 3.503 3.503 3.503 0.000" Properties=species:S:1:pos:R:3 pbc="T T T"
Pu 0.000 0.000 0.000
Sb 1.752 1.752 1.752
Pd 3.503 3.503 3.503
Au 5.255 5.255 5.255
```


No. 3
The following is a DFT calculation (PBE) of a geometry-optimized Sr2LaCu structure.

Values from the calculation:
Distance to the lowest polymorph of the same formula = 0.000 eV/atom
DOS(E_F) = 5.76 states/eV/cell
DFT total energy = -3.083 eV per atom
ΔH_f (0 K) = 0.06 eV/f.u.
Total magnetization = 0.0 μB per formula unit

Cell and atoms, written as extended XYZ:
```
4
Lattice="3.825 0.000 0.000 0.000 3.826 0.000 -0.004 0.000 10.161" Properties=species:S:1:pos:R:3 pbc="T T T"
Sr 0.000 0.000 0.000
Sr 1.908 1.913 3.450
La 3.821 0.000 6.617
Cu 1.912 1.913 8.118
```


No. 4
The following is a DFT calculation (PBE) of a geometry-optimized TcW structure.

Values from the calculation:
Distance to the lowest polymorph of the same formula = 0.170 eV/atom
DOS(E_F) = 2.34 states/eV/cell
DFT total energy = -11.425 eV per atom
ΔH_f (0 K) = 0.47 eV/f.u.
Total magnetization = 0.0 μB per formula unit

Cell and atoms, written as extended XYZ:
```
2
Lattice="1.407 0.813 4.524 -1.407 0.813 4.524 0.000 -1.625 4.524" Properties=species:S:1:pos:R:3 pbc="T T T"
Tc 0.000 0.000 0.000
W 0.000 0.000 6.785
```


No. 5
The following is a DFT calculation (PBE) of a geometry-optimized BeFe2Br structure.

Values from the calculation:
Distance to the lowest polymorph of the same formula = 0.545 eV/atom
DOS(E_F) = 3.96 states/eV/cell
DFT total energy = -4.775 eV per atom
Total magnetization = 4.8 μB per formula unit

Cell and atoms, written as extended XYZ:
```
4
Lattice="-1.834 1.834 3.944 1.834 -1.834 3.944 1.834 1.834 -3.944" Properties=species:S:1:pos:R:3 pbc="T T T"
Be 0.000 0.000 0.000
Fe 1.834 0.000 1.972
Fe 0.000 1.834 1.972
Br 0.000 0.000 3.944
```


No. 6
The following is a DFT calculation (PBE) of a geometry-optimized BeCdCl2 structure.

Values from the calculation:
Distance to the lowest polymorph of the same formula = 0.456 eV/atom
DOS(E_F) = 0.41 states/eV/cell
DFT total energy = -2.534 eV per atom
Total magnetization = 0.0 μB per formula unit

Cell and atoms, written as extended XYZ:
```
4
Lattice="1.608 -3.489 0.000 1.608 3.489 0.000 0.000 0.000 8.698" Properties=species:S:1:pos:R:3 pbc="T T T"
Be 0.000 0.000 0.000
Cd 1.608 0.000 2.156
Cl 0.000 0.000 4.131
Cl 1.608 0.000 7.433
```


No. 7
The following is a DFT calculation (PBE) of a geometry-optimized AgSb2Br structure.

Values from the calculation:
Distance to the lowest polymorph of the same formula = 0.216 eV/atom
DOS(E_F) = 1.45 states/eV/cell
DFT total energy = -3.102 eV per atom
Total magnetization = 0.0 μB per formula unit

Cell and atoms, written as extended XYZ:
```
4
Lattice="3.406 0.000 0.000 0.000 3.406 0.000 0.000 0.000 8.590" Properties=species:S:1:pos:R:3 pbc="T T T"
Ag 0.000 0.000 0.000
Sb 1.703 1.703 1.890
Sb 1.703 1.703 6.700
Br 0.000 0.000 4.295
```


No. 8
The following is a DFT calculation (PBE) of a geometry-optimized BaTl3Ge structure.

Values from the calculation:
Distance to the lowest polymorph of the same formula = 0.185 eV/atom
DOS(E_F) = 2.56 states/eV/cell
DFT total energy = -2.739 eV per atom
ΔH_f (0 K) = -0.05 eV/f.u.
Total magnetization = 0.0 μB per formula unit

Cell and atoms, written as extended XYZ:
```
5
Lattice="5.639 0.000 0.000 0.000 5.639 0.000 0.000 0.000 5.639" Properties=species:S:1:pos:R:3 pbc="T T T"
Ba 0.000 0.000 0.000
Tl 0.000 2.819 2.819
Tl 2.819 0.000 2.819
Tl 2.819 2.819 0.000
Ge 2.819 2.819 2.819
```


No. 9
The following is a DFT calculation (PBE) of a geometry-optimized TaMnFe3 structure.

Values from the calculation:
Distance to the lowest polymorph of the same formula = 0.000 eV/atom
DOS(E_F) = 6.79 states/eV/cell
DFT total energy = -8.292 eV per atom
ΔH_f (0 K) = 4.95 eV/f.u.
Total magnetization = 3.3 μB per formula unit

Cell and atoms, written as extended XYZ:
```
5
Lattice="4.137 0.000 0.000 0.000 4.137 0.000 0.000 0.000 4.137" Properties=species:S:1:pos:R:3 pbc="T T T"
Ta 0.000 0.000 0.000
Mn 2.069 2.069 2.069
Fe 0.000 2.069 2.069
Fe 2.069 0.000 2.069
Fe 2.069 2.069 0.000
```


No. 10
The following is a DFT calculation (PBE) of a geometry-optimized Zr2TiH3 structure.

Values from the calculation:
DOS(E_F) = 8.89 states/eV/cell
DFT total energy = -6.167 eV per atom
Total magnetization = 0.0 μB per formula unit

Cell and atoms, written as extended XYZ:
```
12
Lattice="4.664 -2.571 0.000 4.664 2.571 0.000 -1.864 0.000 5.628" Properties=species:S:1:pos:R:3 pbc="T T T"
Zr 1.398 0.035 0.481
Zr 0.466 -0.035 3.295
Zr 6.998 0.035 2.333
Zr 6.066 -0.035 5.147
Ti 4.198 0.004 1.407
Ti 3.266 -0.004 4.221
H 4.198 2.003 1.407
H 1.508 0.343 5.197
H 2.440 -0.343 2.383
H 5.024 0.343 3.245
H 5.956 -0.343 0.431
H 3.266 -2.003 4.221
```


No. 11
The following is a DFT calculation (PBE) of a geometry-optimized RbINO2 structure.

Values from the calculation:
DOS(E_F) = 9.06 states/eV/cell
DFT total energy = -2.420 eV per atom
Total magnetization = 2.4 μB per formula unit

Cell and atoms, written as extended XYZ:
```
5
Lattice="5.174 0.000 0.000 0.000 5.174 0.000 0.000 0.000 5.595" Properties=species:S:1:pos:R:3 pbc="T T T"
Rb 0.000 0.000 0.000
I 2.587 2.587 2.798
N 0.000 0.000 2.798
O 0.000 2.587 0.000
O 2.587 0.000 0.000
```


No. 12
The following is a DFT calculation (PBE) of a geometry-optimized K3Y structure.

Values from the calculation:
DOS(E_F) = 4.91 states/eV/cell
DFT total energy = -1.961 eV per atom
ΔH_f (0 K) = 1.91 eV/f.u.
Total magnetization = 0.3 μB per formula unit

Cell and atoms, written as extended XYZ:
```
4
Lattice="7.389 0.000 0.000 0.000 7.389 0.000 0.000 0.000 3.954" Properties=species:S:1:pos:R:3 pbc="T T T"
K 0.000 0.000 0.000
K 0.000 3.695 1.977
K 3.695 0.000 1.977
Y 3.695 3.695 0.000
```


No. 13
The following is a DFT calculation (PBE) of a geometry-optimized Mn2SiPb4 structure.

Values from the calculation:
DOS(E_F) = 4.98 states/eV/cell
DFT total energy = -4.808 eV per atom
Total magnetization = 7.7 μB per formula unit

Cell and atoms, written as extended XYZ:
```
7
Lattice="-2.737 2.737 6.748 2.737 -2.737 6.748 2.737 2.737 -6.748" Properties=species:S:1:pos:R:3 pbc="T T T"
Mn 0.000 0.000 1.267
Mn 0.000 0.000 12.229
Si 0.000 0.000 6.748
Pb 2.737 0.000 0.000
Pb 0.000 0.000 4.022
Pb 0.000 2.737 0.000
Pb 0.000 0.000 9.474
```


No. 14
The following is a DFT calculation (PBE) of a geometry-optimized Tl2ZnSbO6 structure.

Values from the calculation:
DOS(E_F) = 1.33 states/eV/cell
DFT total energy = -4.995 eV per atom
Total magnetization = 0.0 μB per formula unit

Cell and atoms, written as extended XYZ:
```
10
Lattice="2.824 1.630 4.854 -2.824 1.630 4.854 0.000 -3.261 4.854" Properties=species:S:1:pos:R:3 pbc="T T T"
Tl 0.000 0.000 0.000
Tl 0.000 0.000 7.081
Zn 0.000 0.000 3.311
Sb 0.000 0.000 10.381
O -1.127 -1.974 6.569
O -1.615 0.183 9.083
O -1.146 1.963 6.569
O 0.649 -1.490 9.083
O 2.273 0.011 6.569
O 0.966 1.307 9.083
```


No. 15
The following is a DFT calculation (PBE) of a geometry-optimized DyZn4Pd7 structure.

Values from the calculation:
DOS(E_F) = 5.27 states/eV/cell
DFT total energy = -4.192 eV per atom
ΔH_f (0 K) = -4.26 eV/f.u.
Total magnetization = 0.0 μB per formula unit

Cell and atoms, written as extended XYZ:
```
12
Lattice="5.665 -2.422 0.000 5.665 2.422 0.000 -5.079 0.000 7.480" Properties=species:S:1:pos:R:3 pbc="T T T"
Dy 0.000 0.000 0.000
Zn -0.105 0.000 4.994
Zn 3.711 0.000 1.700
Zn 2.539 0.000 5.780
Zn 6.355 0.000 2.486
Pd -1.090 0.000 2.670
Pd -2.034 0.000 6.676
Pd 1.729 0.000 3.183
Pd 5.665 0.000 0.000
Pd 4.521 0.000 4.297
Pd 8.284 0.000 0.804
Pd 7.340 0.000 4.810
```


No. 16
The following is a DFT calculation (PBE) of a geometry-optimized LiMn2Fe structure.

Values from the calculation:
Distance to the lowest polymorph of the same formula = 0.115 eV/atom
DOS(E_F) = 3.78 states/eV/cell
DFT total energy = -6.842 eV per atom
ΔH_f (0 K) = 1.35 eV/f.u.
Total magnetization = 2.9 μB per formula unit

Cell and atoms, written as extended XYZ:
```
4
Lattice="2.775 0.000 0.000 0.000 2.775 0.000 0.000 0.000 6.151" Properties=species:S:1:pos:R:3 pbc="T T T"
Li 0.000 0.000 0.000
Mn 0.000 0.000 2.854
Mn 1.387 1.387 1.656
Fe 1.387 1.387 4.507
```


No. 17
The following is a DFT calculation (PBE) of a geometry-optimized Gd2ThSn structure.

Values from the calculation:
Distance to the lowest polymorph of the same formula = 0.421 eV/atom
DOS(E_F) = 4.11 states/eV/cell
DFT total energy = -9.853 eV per atom
ΔH_f (0 K) = 0.17 eV/f.u.
Total magnetization = 14.1 μB per formula unit

Cell and atoms, written as extended XYZ:
```
4
Lattice="1.772 1.023 11.915 -1.772 1.023 11.915 0.000 -2.047 11.915" Properties=species:S:1:pos:R:3 pbc="T T T"
Gd 0.000 0.000 3.153
Gd 0.000 0.000 32.593
Th 0.000 0.000 17.873
Sn 0.000 0.000 0.000
```


No. 18
The following is a DFT calculation (PBE) of a geometry-optimized ScMo2Pt structure.

Values from the calculation:
Distance to the lowest polymorph of the same formula = 0.282 eV/atom
DOS(E_F) = 3.06 states/eV/cell
DFT total energy = -8.536 eV per atom
ΔH_f (0 K) = -0.11 eV/f.u.
Total magnetization = 0.0 μB per formula unit

Cell and atoms, written as extended XYZ:
```
4
Lattice="2.764 0.000 0.000 0.000 4.595 0.000 0.000 0.000 5.318" Properties=species:S:1:pos:R:3 pbc="T T T"
Sc 0.000 0.000 0.000
Mo 1.382 2.298 1.320
Mo 1.382 2.298 3.998
Pt 0.000 0.000 2.659
```


No. 19
The following is a DFT calculation (PBE) of a geometry-optimized SmThS3 structure.

Values from the calculation:
Distance to the lowest polymorph of the same formula = 0.000 eV/atom
DOS(E_F) = 9.57 states/eV/cell
DFT total energy = -6.917 eV per atom
Total magnetization = 0.0 μB per formula unit

Cell and atoms, written as extended XYZ:
```
20
Lattice="7.507 0.000 0.000 0.000 4.013 0.000 0.000 0.000 15.303" Properties=species:S:1:pos:R:3 pbc="T T T"
Sm 1.808 1.003 0.677
Sm 1.946 3.009 8.328
Sm 5.561 1.003 6.975
Sm 5.699 3.009 14.626
Th 0.955 3.009 4.471
Th 2.798 1.003 12.122
Th 4.709 3.009 3.180
Th 6.551 1.003 10.832
S 0.068 3.009 1.672
S 0.952 1.003 6.587
S 1.135 3.009 11.064
S 2.619 1.003 3.413
S 2.801 3.009 14.239
S 3.685 1.003 9.323
S 3.822 3.009 5.979
S 4.706 1.003 1.064
S 4.888 3.009 11.890
S 6.372 1.003 4.238
S 6.555 3.009 8.715
S 7.439 1.003 13.631
```


No. 20
The following is a DFT calculation (PBE) of a geometry-optimized UNbAl2 structure.

Values from the calculation:
DOS(E_F) = 5.45 states/eV/cell
DFT total energy = -7.269 eV per atom
ΔH_f (0 K) = -0.23 eV/f.u.
Total magnetization = 1.3 μB per formula unit

Cell and atoms, written as extended XYZ:
```
4
Lattice="1.461 0.843 10.060 -1.461 0.843 10.060 0.000 -1.687 10.060" Properties=species:S:1:pos:R:3 pbc="T T T"
U 0.000 0.000 0.000
Nb 0.000 0.000 15.090
Al 0.000 0.000 7.359
Al 0.000 0.000 22.822
```